Density functional theory data (PBE) for Sm2YH8 after structural relaxation.

POSCAR file:
```
Sm2YH8
1.0
3.5813 0.0000 -1.0899
-0.7741 4.4787 -2.5437
-0.0004 0.6217 6.4273
H Sm Y
8 2 1
Cartesian
0.4596 0.9370 1.5102
0.7744 3.0490 2.5444
2.3471 4.1633 1.2834
-0.2015 1.1656 -0.6620
1.1502 0.8751 3.7792
1.6566 4.2253 -0.9855
2.0324 2.0513 0.2493
3.0082 3.9347 3.4557
0.0865 3.2050 0.2842
2.7202 1.8954 2.5094
1.7906 0.0000 -0.5450
```

Properties
Crystal system ... orthorhombic
Uncorrected energy ... -4.491 eV per atom